A plane-wave DFT calculation with SCAN was carried out for Tb2AlCu at its PBEsol-relaxed geometry.

Cell: 3.4140 3.4140 7.3465 Å, 90.00 90.00 90.00°
Sites, in units of the cell vectors:
1 Tb 0.5000 0.5000 0.2646
2 Tb 0.5000 0.5000 0.7354
3 Al 0.0000 0.0000 0.0000
4 Cu 0.0000 0.0000 0.5000

Output
Magnetic moment, μB/cell: 0.00
D(E_F), states/eV per atom: 0.67
Electronic total energy, eV per formula unit: -117.8
Space-group type: P4/mmm (123)

=====

A plane-wave DFT calculation with SCAN was carried out for TbAl6Cu6 at its PBEsol-relaxed geometry.

Cell: 4.9779 6.5629 6.5629 Å, 80.86 67.71 67.71°
Sites, in units of the cell vectors:
1 Cu 0.0000 0.5000 0.0000
2 Cu 0.5000 0.0000 0.5000
3 Cu 0.5000 0.2313 0.7687
4 Cu 0.0000 0.0000 0.5000
5 Cu 0.5000 0.7687 0.2313
6 Cu 0.5000 0.5000 0.0000
7 Tb 0.0000 0.0000 0.0000
8 Al 0.6991 0.8009 0.8009
9 Al 0.3481 0.6519 0.6519
10 Al 0.0000 0.6548 0.3452
11 Al 0.3009 0.1991 0.1991
12 Al 0.0000 0.3452 0.6548
13 Al 0.6519 0.3481 0.3481

Output
Magnetic moment, μB/cell: 0.00
D(E_F), states/eV per atom: 0.25
Electronic total energy, eV per formula unit: -190.4
Space-group type: Immm (71)

=====

A plane-wave DFT calculation with SCAN was carried out for AlCuTc3 at its PBEsol-relaxed geometry.

Cell: 4.3743 4.3743 4.3743 Å, 90.00 90.00 90.00°
Sites, in units of the cell vectors:
1 Tc 0.0000 0.5000 0.0000
2 Tc 0.0000 0.0000 0.5000
3 Tc 0.5000 0.0000 0.0000
4 Cu 0.0000 0.0000 0.0000
5 Al 0.5000 0.5000 0.5000

Output
Magnetic moment, μB/cell: 0.00
D(E_F), states/eV per atom: 1.26
Electronic total energy, eV per formula unit: -120.4
Space-group type: Pm-3m (221)

=====

A plane-wave DFT calculation with SCAN was carried out for Al2CuTc at its PBEsol-relaxed geometry.

Cell: 2.7684 2.7684 8.6003 Å, 80.74 80.74 60.00°
Sites, in units of the cell vectors:
1 Cu 0.4990 0.4990 0.5031
2 Al 0.9973 0.9973 0.0081
3 Al 0.7550 0.7550 0.7351
4 Tc 0.2488 0.2488 0.2537

Output
Magnetic moment, μB/cell: 0.01
D(E_F), states/eV per atom: 0.71
Energy above the lowest structure with this stoichiometry, meV/atom: 505
Space-group type: R3m (160)

=====

A plane-wave DFT calculation with SCAN was carried out for Al2CuTc at its PBEsol-relaxed geometry.

Cell: 3.5507 3.5481 4.9157 Å, 111.16 111.17 90.00°
Sites, in units of the cell vectors:
1 Tc 0.2500 0.7500 0.5001
2 Al 0.0000 0.0000 0.0001
3 Al 0.7499 0.2499 0.4998
4 Cu 0.5000 0.5000 0.0001

Output
Magnetic moment, μB/cell: 0.00
D(E_F), states/eV per atom: 0.14
Energy above the lowest structure with this stoichiometry, meV/atom: 77
Space-group type: I-4m2 (119)

=====

A plane-wave DFT calculation with SCAN was carried out for AlCuTc at its PBEsol-relaxed geometry.

Cell: 2.6979 2.6979 5.7564 Å, 103.56 103.56 90.00°
Site moments in Bohr magnetons follow the coordinates.
Sites, in units of the cell vectors:
1 Tc 0.3324 0.3324 0.6644  0.82
2 Al 0.0048 0.0048 0.0097  -0.01
3 Cu 0.6627 0.6627 0.3258  0.04

Output
Magnetic moment, μB/cell: 0.88
D(E_F), states/eV per atom: 0.67
Energy above the lowest structure with this stoichiometry, meV/atom: 0
Space-group type: I4mm (107)

=====

A plane-wave DFT calculation with SCAN was carried out for Al2CuTc at its PBEsol-relaxed geometry.

Cell: 4.0681 3.1886 4.0681 Å, 90.00 90.00 90.00°
Sites, in units of the cell vectors:
1 Cu 0.0000 0.6250 0.3751
2 Al 0.5000 0.1249 0.3750
3 Al 0.0000 0.1250 0.8750
4 Tc 0.5000 0.6250 0.8750

Output
Magnetic moment, μB/cell: 0.00
D(E_F), states/eV per atom: 0.24
Energy above the lowest structure with this stoichiometry, meV/atom: 0
Space-group type: P4/mmm (123)

=====

A plane-wave DFT calculation with SCAN was carried out for AlCuTc at its PBEsol-relaxed geometry.

Cell: 3.9920 3.9920 3.9920 Å, 60.00 60.00 60.00°
Site moments in Bohr magnetons follow the coordinates.
Sites, in units of the cell vectors:
1 Tc 0.0000 0.0000 0.0000  1.09
2 Cu 0.2500 0.2500 0.2500  0.09
3 Al 0.5000 0.5000 0.5000  -0.03

Output
Magnetic moment, μB/cell: 1.13
D(E_F), states/eV per atom: 0.96
Energy above the lowest structure with this stoichiometry, meV/atom: 361
Space-group type: F-43m (216)

=====

A plane-wave DFT calculation with SCAN was carried out for Al2CuTc at its PBEsol-relaxed geometry.

Cell: 2.7685 2.7685 8.4819 Å, 80.61 80.61 60.00°
Sites, in units of the cell vectors:
1 Al 0.7512 0.7512 0.7464
2 Al 0.2488 0.2488 0.2536
3 Cu 0.5000 0.5000 0.5000
4 Tc 0.0000 0.0000 0.0000

Output
Magnetic moment, μB/cell: 0.00
D(E_F), states/eV per atom: 0.82
Energy above the lowest structure with this stoichiometry, meV/atom: 325
Space-group type: R-3m (166)

=====

A plane-wave DFT calculation with SCAN was carried out for Al2CuTc at its PBEsol-relaxed geometry.

Cell: 3.0858 3.0858 5.6462 Å, 90.00 90.00 90.00°
Sites, in units of the cell vectors:
1 Tc 0.5000 0.5000 0.5000
2 Al 0.0000 0.0000 0.7420
3 Al 0.0000 0.0000 0.2580
4 Cu 0.5000 0.5000 0.0000

Output
Magnetic moment, μB/cell: 0.02
D(E_F), states/eV per atom: 0.66
Energy above the lowest structure with this stoichiometry, meV/atom: 89
Space-group type: P4/mmm (123)

=====

A plane-wave DFT calculation with SCAN was carried out for Al2CuTe at its PBEsol-relaxed geometry.

Cell: 3.4804 3.4804 5.9350 Å, 90.00 90.00 90.00°
Sites, in units of the cell vectors:
1 Al 0.0000 0.0000 0.7802
2 Al 0.0000 0.0000 0.2198
3 Te 0.5000 0.5000 0.5000
4 Cu 0.5000 0.5000 0.0000

Output
Magnetic moment, μB/cell: 0.00
D(E_F), states/eV per atom: 0.38
Space-group type: P4/mmm (123)
ΔE_f (raw), eV per atom: 0.1985

=====

A plane-wave DFT calculation with SCAN was carried out for AlCuTe2 at its PBEsol-relaxed geometry.

Cell: 4.0470 4.0494 6.2376 Å, 90.34 90.00 90.00°
Sites, in units of the cell vectors:
1 Al 0.0000 0.6163 0.6250
2 Te 0.5000 0.6311 0.3493
3 Te 0.0000 0.1162 0.9007
4 Cu 0.5000 0.1363 0.6250

Output
Magnetic moment, μB/cell: 0.00
Space-group type: Pm (6)
ΔE_f (raw), eV per atom: -0.3212